Computed, not measured: a relaxed structure of PrGa6Pt12 at the PBE level of DFT.

Structure (CIF):
```
data_PrGa6Pt12
_symmetry_space_group_name_H-M 'R -3 m'
_symmetry_Int_Tables_number 166
_symmetry_space_group_name_Hall '-R 3 2"'
_cell_length_a 11.6434
_cell_length_b 11.6434
_cell_length_c 8.4034
_cell_angle_alpha 90.00
_cell_angle_beta 90.00
_cell_angle_gamma 120.00
loop_
_atom_site_label
_atom_site_type_symbol
_atom_site_fract_x
_atom_site_fract_y
_atom_site_fract_z
_atom_site_occupancy
Pr1 Pr 0.0000 0.0000 0.0000 1
Ga1 Ga 0.0461 0.5231 0.2528 1
Pt1 Pt 0.0000 0.3772 0.5000 1
Pt2 Pt 0.0800 0.1600 0.3142 1
```

Calculated formation energy, eV per atom: -0.5715
Size of the total moment, Bohr magnetons per cell: 0.00

Computed, not measured: a relaxed structure of Pr4Nd5Hg at the PBE level of DFT.

Structure (CIF):
```
data_Pr4Nd5Hg
_symmetry_space_group_name_H-M 'P 4/m m m'
_symmetry_Int_Tables_number 123
_symmetry_space_group_name_Hall '-P 4 2'
_cell_length_a 3.726
_cell_length_b 3.726
_cell_length_c 24.719
_cell_angle_alpha 90.00
_cell_angle_beta 90.00
_cell_angle_gamma 90.00
loop_
_atom_site_label
_atom_site_type_symbol
_atom_site_fract_x
_atom_site_fract_y
_atom_site_fract_z
_atom_site_occupancy
Pr1 Pr 0.000 0.000 0.105 1
Pr2 Pr 0.000 0.000 0.314 1
Nd1 Nd 0.500 0.500 0.000 1
Nd2 Nd 0.500 0.500 0.210 1
Nd3 Nd 0.500 0.500 0.418 1
Hg1 Hg 0.000 0.000 0.500 1
```

Calculated formation energy, eV per atom: -0.0861
Size of the total moment, Bohr magnetons per cell: 0.00

Computed, not measured: a relaxed structure of YTiAsRu2 at the PBE level of DFT.

Structure (CIF):
```
data_YTiAsRu2
_symmetry_space_group_name_H-M 'P 4/m m m'
_symmetry_Int_Tables_number 123
_symmetry_space_group_name_Hall '-P 4 2'
_cell_length_a 4.555
_cell_length_b 4.555
_cell_length_c 5.132
_cell_angle_alpha 90.00
_cell_angle_beta 90.00
_cell_angle_gamma 90.00
loop_
_atom_site_label
_atom_site_type_symbol
_atom_site_fract_x
_atom_site_fract_y
_atom_site_fract_z
_atom_site_occupancy
Y1 Y 0.000 0.000 0.000 1
Ti1 Ti 0.500 0.500 0.000 1
As1 As 0.000 0.000 0.500 1
Ru1 Ru 0.000 0.500 0.500 1
```

Calculated formation energy, eV per atom: 0.4914
Size of the total moment, Bohr magnetons per cell: 1.70

Computed, not measured: a relaxed structure of TaPt2Br2 at the PBE level of DFT.

Structure (CIF):
```
data_TaPt2Br2
_symmetry_space_group_name_H-M 'P 4/m b m'
_symmetry_Int_Tables_number 127
_symmetry_space_group_name_Hall '-P 4 2ab'
_cell_length_a 6.683
_cell_length_b 6.683
_cell_length_c 5.213
_cell_angle_alpha 90.00
_cell_angle_beta 90.00
_cell_angle_gamma 90.00
loop_
_atom_site_label
_atom_site_type_symbol
_atom_site_fract_x
_atom_site_fract_y
_atom_site_fract_z
_atom_site_occupancy
Ta1 Ta 0.000 0.000 0.000 1
Pt1 Pt 0.143 0.357 0.000 1
Br1 Br 0.186 0.314 0.500 1
```

Energy relative to the elements, uncorrected, eV per atom: 0.423
Size of the total moment, Bohr magnetons per cell: 1.66
Energy above the most stable polymorph in this dataset, meV/atom: 0

Computed, not measured: a relaxed structure of Nd3PdSe2 at the PBE level of DFT.

Structure (CIF):
```
data_Nd3PdSe2
_symmetry_space_group_name_H-M 'I m m m'
_symmetry_Int_Tables_number 71
_symmetry_space_group_name_Hall '-I 2 2'
_cell_length_a 4.130
_cell_length_b 6.036
_cell_length_c 13.014
_cell_angle_alpha 90.00
_cell_angle_beta 90.00
_cell_angle_gamma 90.00
loop_
_atom_site_label
_atom_site_type_symbol
_atom_site_fract_x
_atom_site_fract_y
_atom_site_fract_z
_atom_site_occupancy
Nd1 Nd 0.000 0.000 0.000 1
Nd2 Nd 0.000 0.000 0.336 1
Pd1 Pd 0.000 0.500 0.000 1
Se1 Se 0.000 0.500 0.332 1
```

Energy relative to the elements, uncorrected, eV per atom: -1.424
Size of the total moment, Bohr magnetons per cell: 0.00

Computed, not measured: a relaxed structure of HgGeOs2 at the PBE level of DFT.

Structure (CIF):
```
data_HgGeOs2
_symmetry_space_group_name_H-M 'F m -3 m'
_symmetry_Int_Tables_number 225
_symmetry_space_group_name_Hall '-F 4 2 3'
_cell_length_a 6.343
_cell_length_b 6.343
_cell_length_c 6.343
_cell_angle_alpha 90.00
_cell_angle_beta 90.00
_cell_angle_gamma 90.00
loop_
_atom_site_label
_atom_site_type_symbol
_atom_site_fract_x
_atom_site_fract_y
_atom_site_fract_z
_atom_site_occupancy
Hg1 Hg 0.000 0.000 0.000 1
Ge1 Ge 0.000 0.000 0.500 1
Os1 Os 0.250 0.250 0.250 1
```

Calculated formation energy, eV per atom: 0.8503
Size of the total moment, Bohr magnetons per cell: 0.00
Energy above the most stable polymorph in this dataset, meV/atom: 0

Computed, not measured: a relaxed structure of SrCrSe2 at the PBE level of DFT.

Structure (CIF):
```
data_SrCrSe2
_symmetry_space_group_name_H-M 'R -3 m'
_symmetry_Int_Tables_number 166
_symmetry_space_group_name_Hall '-R 3 2"'
_cell_length_a 3.9054
_cell_length_b 3.9054
_cell_length_c 25.7079
_cell_angle_alpha 90.00
_cell_angle_beta 90.00
_cell_angle_gamma 120.00
loop_
_atom_site_label
_atom_site_type_symbol
_atom_site_fract_x
_atom_site_fract_y
_atom_site_fract_z
_atom_site_occupancy
Sr1 Sr 0.0000 0.0000 0.0000 1
Cr1 Cr 0.0000 0.0000 0.5000 1
Se1 Se 0.0000 0.0000 0.1163 1
```

Energy relative to the elements, uncorrected, eV per atom: -0.598
Size of the total moment, Bohr magnetons per cell: 10.29
Energy above the most stable polymorph in this dataset, meV/atom: 445

Computed, not measured: a relaxed structure of Ho4CoSn2 at the PBE level of DFT.

Structure (CIF):
```
data_Ho4CoSn2
_symmetry_space_group_name_H-M 'C 1 2/m 1'
_symmetry_Int_Tables_number 12
_symmetry_space_group_name_Hall '-C 2y'
_cell_length_a 11.290
_cell_length_b 4.515
_cell_length_c 8.496
_cell_angle_alpha 90.00
_cell_angle_beta 122.92
_cell_angle_gamma 90.00
loop_
_atom_site_label
_atom_site_type_symbol
_atom_site_fract_x
_atom_site_fract_y
_atom_site_fract_z
_atom_site_occupancy
Ho1 Ho 0.068 0.000 0.347 1
Ho2 Ho 0.166 0.500 0.060 1
Co1 Co 0.000 0.000 0.000 1
Sn1 Sn 0.153 0.500 0.666 1
```

Calculated formation energy, eV per atom: -0.4963
Size of the total moment, Bohr magnetons per cell: 0.00
Energy above the most stable polymorph in this dataset, meV/atom: 0

Computed, not measured: a relaxed structure of SrTiBr2 at the PBE level of DFT.

Structure (CIF):
```
data_SrTiBr2
_symmetry_space_group_name_H-M 'R -3 m'
_symmetry_Int_Tables_number 166
_symmetry_space_group_name_Hall '-R 3 2"'
_cell_length_a 4.0696
_cell_length_b 4.0696
_cell_length_c 28.0888
_cell_angle_alpha 90.00
_cell_angle_beta 90.00
_cell_angle_gamma 120.00
loop_
_atom_site_label
_atom_site_type_symbol
_atom_site_fract_x
_atom_site_fract_y
_atom_site_fract_z
_atom_site_occupancy
Sr1 Sr 0.0000 0.0000 0.0000 1
Ti1 Ti 0.0000 0.0000 0.5000 1
Br1 Br 0.0000 0.0000 0.1150 1
```

Energy relative to the elements, uncorrected, eV per atom: -0.681
Size of the total moment, Bohr magnetons per cell: 7.16
Energy above the most stable polymorph in this dataset, meV/atom: 0

Computed, not measured: a relaxed structure of Hf2Hg2P at the PBE level of DFT.

Structure (CIF):
```
data_Hf2Hg2P
_symmetry_space_group_name_H-M 'I 4/m m m'
_symmetry_Int_Tables_number 139
_symmetry_space_group_name_Hall '-I 4 2'
_cell_length_a 3.983
_cell_length_b 3.983
_cell_length_c 14.610
_cell_angle_alpha 90.00
_cell_angle_beta 90.00
_cell_angle_gamma 90.00
loop_
_atom_site_label
_atom_site_type_symbol
_atom_site_fract_x
_atom_site_fract_y
_atom_site_fract_z
_atom_site_occupancy
Hf1 Hf 0.000 0.500 0.250 1
Hg1 Hg 0.000 0.000 0.094 1
P1 P 0.000 0.000 0.500 1
```

Calculated formation energy, eV per atom: 0.6138
Size of the total moment, Bohr magnetons per cell: 0.00
Energy above the most stable polymorph in this dataset, meV/atom: 973

Computed, not measured: a relaxed structure of Dy4TlInHg2 at the PBE level of DFT.

Structure (CIF):
```
data_Dy4TlInHg2
_symmetry_space_group_name_H-M 'R -3 m'
_symmetry_Int_Tables_number 166
_symmetry_space_group_name_Hall '-R 3 2"'
_cell_length_a 5.3042
_cell_length_b 5.3042
_cell_length_c 26.0172
_cell_angle_alpha 90.00
_cell_angle_beta 90.00
_cell_angle_gamma 120.00
loop_
_atom_site_label
_atom_site_type_symbol
_atom_site_fract_x
_atom_site_fract_y
_atom_site_fract_z
_atom_site_occupancy
Dy1 Dy 0.0000 0.0000 0.1251 1
Dy2 Dy 0.0000 0.0000 0.3752 1
Tl1 Tl 0.0000 0.0000 0.0000 1
In1 In 0.0000 0.0000 0.5000 1
Hg1 Hg 0.0000 0.0000 0.2483 1
```

Calculated formation energy, eV per atom: -0.4378
Size of the total moment, Bohr magnetons per cell: 1.57

Computed, not measured: a relaxed structure of NaMgMn2Cl at the PBE level of DFT.

Structure (CIF):
```
data_NaMgMn2Cl
_symmetry_space_group_name_H-M 'P 4/m m m'
_symmetry_Int_Tables_number 123
_symmetry_space_group_name_Hall '-P 4 2'
_cell_length_a 5.320
_cell_length_b 5.320
_cell_length_c 5.575
_cell_angle_alpha 90.00
_cell_angle_beta 90.00
_cell_angle_gamma 90.00
loop_
_atom_site_label
_atom_site_type_symbol
_atom_site_fract_x
_atom_site_fract_y
_atom_site_fract_z
_atom_site_occupancy
Na1 Na 0.000 0.000 0.000 1
Mg1 Mg 0.000 0.000 0.500 1
Mn1 Mn 0.000 0.500 0.000 1
Cl1 Cl 0.500 0.500 0.500 1
```

Energy relative to the elements, uncorrected, eV per atom: 1.109
Size of the total moment, Bohr magnetons per cell: 9.62

Number 1: DOS at the Fermi energy 18.67 states/eV per cell, calculated density 14.6 g/cm³. Number 2: DOS at the Fermi energy 13.28 states/eV per cell, calculated density 7.2 g/cm³. Number 3: DOS at the Fermi energy 5.23 states/eV per cell, calculated density 6.5 g/cm³. Number 4: DOS at the Fermi energy 9.74 states/eV per cell, calculated density 10.4 g/cm³. Number 5: DOS at the Fermi energy 13.54 states/eV per cell, calculated density 7.1 g/cm³. Number 6: DOS at the Fermi energy 20.65 states/eV per cell, calculated density 17.0 g/cm³. Number 7: DOS at the Fermi energy 3.75 states/eV per cell, calculated density 4.4 g/cm³. Number 8: DOS at the Fermi energy 10.77 states/eV per cell, calculated density 8.7 g/cm³. Number 9: DOS at the Fermi energy 28.21 states/eV per cell, calculated density 3.7 g/cm³. Number 10: DOS at the Fermi energy 6.67 states/eV per cell, calculated density 11.3 g/cm³. Number 11: DOS at the Fermi energy 27.10 states/eV per cell, calculated density 10.8 g/cm³. Number 12: DOS at the Fermi energy 6.11 states/eV per cell, calculated density 2.0 g/cm³.